# NiAuF2

A geometry-optimized NiAuF2 structure (PBE+U, Alexandria via LeMat-Bulk).

a = 5.430 Å, b = 5.430 Å, c = 6.306 Å
α = 64.50°, β = 64.50°, γ = 90.00°
Each line ends with the local moment (μB).
Fractional positions:
Au 0.000 0.000 0.000  0.01
Ni 0.500 0.500 0.000  1.84
F 0.875 0.715 0.750  0.05
F 0.375 0.535 0.750  0.05
Au 0.750 0.250 0.500  0.01
F 0.285 0.625 0.250  0.06
Ni 0.250 0.750 0.500  1.84
F 0.465 0.125 0.250  0.06

total magnetization	4.0	μB per cell
polymorph energy (0 for the lowest one)	2.47	eV/f.u.
calculated volume	148	Å³/cell
E_tot	-25.66	eV for the cell shown